Density functional theory data (PBE) for an optimized crystal structure of TeCS2Cl.

a = 5.1077 Å, b = 5.1077 Å, c = 5.1656 Å
α = 90.00°, β = 90.00°, γ = 90.00°
Last column: nearest neighbours and their distance in Å.
Space group P4/mmm (No. 123)
Symmetry-distinct sites (fractional):
Te  0.0000  0.0000  0.0000 x1  4 S 2.55, 2 Cl 2.58
C  0.5000  0.5000  0.5000 x1  4 Cl 3.61, 8 S 3.63
S  0.0000  0.5000  0.0000 x2  2 Te 2.55
Cl  0.0000  0.0000  0.5000 x1  2 Te 2.58

* uncorrected formation energy: 170 kJ per mole of atoms
* DOS at the Fermi energy: 4.3 states/eV/f.u.
* polymorph energy (0 for the lowest one): 626.9 meV/atom

---

Density functional theory data (PBE) for an optimized crystal structure of Th6C3S2Cl.

a = 17.5275 Å, b = 3.8350 Å, c = 8.0943 Å
α = 90.00°, β = 108.17°, γ = 90.00°
Last column: nearest neighbours and their distance in Å.
Space group C2/m (No. 12)
Symmetry-distinct sites (fractional):
Th  0.0106  0.0000  0.2213 x4  3 C 2.59-2.62
Th  0.1597  0.5000  0.1023 x4  3 C 2.65-2.66, 3 S 2.95-2.96
Th  0.1777  0.5000  0.5616 x4  3 C 2.57-2.64
C  0.0000  0.5000  0.0000 x2  6 Th 2.59-2.66
C  0.1679  0.0000  0.3325 x4  6 Th 2.57-2.65
S  0.1640  0.0000  0.8279 x4  6 Th 2.95-2.96
Cl  0.0000  0.5000  0.5000 x2  6 Th 3.00-3.01

* uncorrected formation energy: -107 kJ per mole of atoms
* DOS at the Fermi energy: 5.6 states/eV/f.u.

---

Density functional theory data (PBE) for an optimized crystal structure of TiCS2Cl.

a = 4.7047 Å, b = 4.7047 Å, c = 4.7455 Å
α = 90.00°, β = 90.00°, γ = 90.00°
Last column: nearest neighbours and their distance in Å.
Space group P4/mmm (No. 123)
Symmetry-distinct sites (fractional):
Ti  0.0000  0.0000  0.0000 x1  4 S 2.35, 2 Cl 2.37
C  0.5000  0.5000  0.5000 x1  4 Cl 3.33, 8 S 3.34
S  0.0000  0.5000  0.0000 x2  2 Ti 2.35
Cl  0.0000  0.0000  0.5000 x1  2 Ti 2.37

* uncorrected formation energy: 79 kJ per mole of atoms
* DOS at the Fermi energy: 4.5 states/eV/f.u.
* polymorph energy (0 for the lowest one): 66.5 meV/atom

---

Density functional theory data (PBE) for an optimized crystal structure of TiCS2Cl.

a = 4.1268 Å, b = 4.1268 Å, c = 4.2906 Å
α = 90.00°, β = 90.00°, γ = 90.00°
Last column: nearest neighbours and their distance in Å.
Space group P4/mmm (No. 123)
Symmetry-distinct sites (fractional):
Ti  0.0000  0.0000  0.0000 x1  4 Cl 2.92, 8 S 2.98
C  0.5000  0.5000  0.5000 x1  4 S 2.06, 2 Cl 2.15
S  0.0000  0.5000  0.5000 x2  2 C 2.06
Cl  0.5000  0.5000  0.0000 x1  2 C 2.15

* uncorrected formation energy: 72 kJ per mole of atoms
* DOS at the Fermi energy: 4.9 states/eV/f.u.
* polymorph energy (0 for the lowest one): 0.0 meV/atom

---

Density functional theory data (PBE) for an optimized crystal structure of TlCS2Cl.

a = 5.1702 Å, b = 5.1702 Å, c = 5.1529 Å
α = 90.00°, β = 90.00°, γ = 90.00°
Last column: nearest neighbours and their distance in Å.
Space group P4/mmm (No. 123)
Symmetry-distinct sites (fractional):
Tl  0.0000  0.0000  0.0000 x1  2 Cl 2.58, 4 S 2.59
C  0.5000  0.5000  0.5000 x1  8 S 3.65, 4 Cl 3.66
S  0.0000  0.5000  0.0000 x2  2 Tl 2.59
Cl  0.0000  0.0000  0.5000 x1  2 Tl 2.58

* uncorrected formation energy: 190 kJ per mole of atoms
* DOS at the Fermi energy: 5.4 states/eV/f.u.
* polymorph energy (0 for the lowest one): 1222.2 meV/atom

---

Density functional theory data (PBE) for an optimized crystal structure of TlCS2Cl.

a = 4.0525 Å, b = 4.0525 Å, c = 7.1229 Å
α = 90.00°, β = 90.00°, γ = 90.00°
Last column: nearest neighbours and their distance in Å.
Space group P4/mmm (No. 123)
Symmetry-distinct sites (fractional):
Tl  0.0000  0.0000  0.0000 x1  4 Cl 2.87
C  0.0000  0.0000  0.5000 x1  4 S 2.03
S  0.0000  0.5000  0.5000 x2  2 C 2.03
Cl  0.5000  0.5000  0.0000 x1  4 Tl 2.87

* uncorrected formation energy: 72 kJ per mole of atoms
* DOS at the Fermi energy: 2.5 states/eV/f.u.
* polymorph energy (0 for the lowest one): 0.0 meV/atom

---

Copy entry 6 word for word.
Density functional theory data (PBE) for an optimized crystal structure of TlCS2Cl.

a = 4.0525 Å, b = 4.0525 Å, c = 7.1229 Å
α = 90.00°, β = 90.00°, γ = 90.00°
Last column: nearest neighbours and their distance in Å.
Space group P4/mmm (No. 123)
Symmetry-distinct sites (fractional):
Tl  0.0000  0.0000  0.0000 x1  4 Cl 2.87
C  0.0000  0.0000  0.5000 x1  4 S 2.03
S  0.0000  0.5000  0.5000 x2  2 C 2.03
Cl  0.5000  0.5000  0.0000 x1  4 Tl 2.87

* uncorrected formation energy: 72 kJ per mole of atoms
* DOS at the Fermi energy: 2.5 states/eV/f.u.
* polymorph energy (0 for the lowest one): 0.0 meV/atom

---

Q: Which formula does entry 1 have?
A: TeCS2Cl